Record 1
First-principles (GGA-PBE) data for a geometry-optimized LiCdRh structure, as listed in Alexandria via LeMat-Bulk.

## Properties
- density of states at the Fermi level (states/eV/cell) = 2.3
- energy relative to the elements (eV per atom) = -0.145

a b c (Å): 4.3770 4.3770 2.8513
angles (deg): 90.00 90.00 120.00
Last column: nearest neighbours and their distance in Å.
Sites, in units of the cell vectors:
Li1 0.0000 0.0000 0.0000  3 Rh 2.59, 3 Cd 2.71, 2 Li 2.85
Cd1 0.3333 0.6667 0.6541  3 Li 2.71, 6 Rh 2.83-2.98, 2 Cd 2.85
Rh1 0.6667 0.3333 0.2061  3 Li 2.59, 3 Cd 2.83, 2 Rh 2.85

---

Record 2
First-principles (GGA-PBE) data for a geometry-optimized Ce2Y3ErS6 structure, as listed in Alexandria via LeMat-Bulk.

## Properties
- formation energy (no corrections) (eV/atom) = -2.0109
- density of states at the Fermi level (states/eV/cell) = 12.8

a b c (Å): 8.8258 8.8258 7.9291
angles (deg): 103.19 103.19 25.73
Last column: nearest neighbours and their distance in Å.
Sites, in units of the cell vectors:
Ce1 0.1676 0.1676 0.3362  6 S 2.82-2.84
Ce2 0.8324 0.8324 0.6638  6 S 2.82-2.84
Y1 0.1680 0.1680 0.8322  6 S 2.74-2.80
Y2 0.5000 0.5000 0.5000  6 S 2.74-2.82
Y3 0.8320 0.8320 0.1678  6 S 2.74-2.80
Er1 0.5000 0.5000 0.0000  6 S 2.75-2.77
S1 0.0024 0.0024 0.7554  2 Er 2.77, 3 Y 2.77-2.82, 1 Ce 2.84
S2 0.3354 0.3354 0.9243  1 Er 2.75, 3 Y 2.76-2.80, 2 Ce 2.84
S3 0.3364 0.3364 0.4105  3 Y 2.74, 3 Ce 2.82
S4 0.6636 0.6636 0.5895  3 Y 2.74, 3 Ce 2.82
S5 0.6646 0.6646 0.0757  1 Er 2.75, 3 Y 2.76-2.80, 2 Ce 2.84
S6 0.9976 0.9976 0.2446  2 Er 2.77, 3 Y 2.77-2.82, 1 Ce 2.84

---

Results for total magnetic moment: 0.297 1.703 (in Bohr magnetons per cell, following the order of the records).